Crystalline CaAlRu2Rh at its relaxed geometry. Source: the Alexandria database, functional GGA-PBE.

Computed properties:
Energy relative to the elements: 0.6541 eV/atom

a b c (Å): 4.794 4.580 4.794
angles (deg): 90.00 90.00 90.00
Sites, in units of the cell vectors:
Ru 0.000 0.000 0.500
Ru 0.500 0.000 0.000
Al 0.000 0.500 0.000
Ca 0.500 0.500 0.500
Rh 0.000 0.000 0.000

---

Crystalline Ca2AlSi3Rh4 at its relaxed geometry. Source: the Alexandria database, functional GGA-PBE.

Computed properties:
E_form (uncorrected): -0.9237 eV per atom

a b c (Å): 4.139 4.139 10.011
angles (deg): 90.00 90.00 90.00
Sites, in units of the cell vectors:
Ca 0.000 0.500 0.753
Ca 0.500 0.000 0.247
Si 0.000 0.500 0.123
Si 0.000 0.000 0.500
Si 0.500 0.000 0.877
Al 0.500 0.500 0.500
Rh 0.000 0.500 0.365
Rh 0.000 0.000 0.000
Rh 0.500 0.500 0.000
Rh 0.500 0.000 0.635

---

Crystalline Ca2AlSi4Rh3 at its relaxed geometry. Source: the Alexandria database, functional GGA-PBE.

Computed properties:
E_form (uncorrected): -0.7544 eV per atom

a b c (Å): 4.066 4.066 10.440
angles (deg): 90.00 90.00 90.00
Sites, in units of the cell vectors:
Si 0.000 0.000 0.000
Si 0.500 0.500 0.000
Si 0.000 0.500 0.358
Si 0.500 0.000 0.642
Al 0.500 0.500 0.500
Ca 0.500 0.000 0.246
Ca 0.000 0.500 0.754
Rh 0.500 0.000 0.877
Rh 0.000 0.500 0.123
Rh 0.000 0.000 0.500

---

Crystalline Ca2AlSi2Rh5 at its relaxed geometry. Source: the Alexandria database, functional GGA-PBE.

Computed properties:
E_form (uncorrected): -0.8453 eV per atom

a b c (Å): 3.185 10.044 10.044
angles (deg): 90.00 90.00 90.00
Sites, in units of the cell vectors:
Al 0.000 0.000 0.000
Al 0.000 0.500 0.500
Ca 0.000 0.827 0.673
Ca 0.000 0.327 0.827
Ca 0.000 0.173 0.327
Ca 0.000 0.673 0.173
Rh 0.500 0.000 0.500
Rh 0.500 0.433 0.294
Rh 0.500 0.706 0.433
Rh 0.500 0.567 0.706
Rh 0.500 0.206 0.067
Rh 0.500 0.500 0.000
Rh 0.500 0.294 0.567
Rh 0.500 0.933 0.206
Rh 0.500 0.794 0.933
Rh 0.500 0.067 0.794
Si 0.000 0.128 0.628
Si 0.000 0.872 0.372
Si 0.000 0.372 0.128
Si 0.000 0.628 0.872

---

Crystalline Ca2AlSn2Rh5 at its relaxed geometry. Source: the Alexandria database, functional GGA-PBE.

Computed properties:
Energy relative to the elements: -0.5211 eV/atom

a b c (Å): 3.222 10.732 10.732
angles (deg): 90.00 90.00 90.00
Sites, in units of the cell vectors:
Rh 0.500 0.315 0.555
Rh 0.500 0.185 0.055
Rh 0.500 0.815 0.945
Rh 0.500 0.685 0.445
Rh 0.500 0.555 0.685
Rh 0.500 0.945 0.185
Rh 0.500 0.055 0.815
Rh 0.500 0.500 0.000
Rh 0.500 0.445 0.315
Rh 0.500 0.000 0.500
Sn 0.000 0.363 0.137
Sn 0.000 0.637 0.863
Sn 0.000 0.137 0.637
Sn 0.000 0.863 0.363
Ca 0.000 0.667 0.167
Ca 0.000 0.167 0.333
Ca 0.000 0.833 0.667
Ca 0.000 0.333 0.833
Al 0.000 0.500 0.500
Al 0.000 0.000 0.000

---

Crystalline Ca2Al2SnRh5 at its relaxed geometry. Source: the Alexandria database, functional GGA-PBE.

Computed properties:
Energy relative to the elements: -0.6979 eV/atom

a b c (Å): 3.255 10.326 10.326
angles (deg): 90.00 90.00 90.00
Sites, in units of the cell vectors:
Rh 0.500 0.500 0.000
Rh 0.500 0.435 0.295
Rh 0.500 0.205 0.065
Rh 0.500 0.565 0.705
Rh 0.500 0.935 0.205
Rh 0.500 0.000 0.500
Rh 0.500 0.795 0.935
Rh 0.500 0.295 0.565
Rh 0.500 0.705 0.435
Rh 0.500 0.065 0.795
Ca 0.000 0.674 0.174
Ca 0.000 0.326 0.826
Ca 0.000 0.826 0.674
Ca 0.000 0.174 0.326
Sn 0.000 0.500 0.500
Sn 0.000 0.000 0.000
Al 0.000 0.125 0.625
Al 0.000 0.625 0.875
Al 0.000 0.375 0.125
Al 0.000 0.875 0.375

---

Crystalline SrCaAl2Rh at its relaxed geometry. Source: the Alexandria database, functional GGA-PBE.

Computed properties:
Energy relative to the elements: -0.3567 eV/atom

a b c (Å): 4.909 4.909 5.285
angles (deg): 90.00 90.00 90.00
Sites, in units of the cell vectors:
Sr 0.500 0.500 0.500
Rh 0.000 0.000 0.000
Ca 0.000 0.000 0.500
Al 0.500 0.000 0.000
Al 0.000 0.500 0.000

---

Crystalline SrCa2AlRh at its relaxed geometry. Source: the Alexandria database, functional GGA-PBE.

Computed properties:
Energy relative to the elements: -0.2676 eV/atom

a b c (Å): 5.545 5.545 4.938
angles (deg): 90.00 90.00 90.00
Sites, in units of the cell vectors:
Rh 0.000 0.000 0.000
Al 0.000 0.000 0.500
Sr 0.500 0.500 0.500
Ca 0.000 0.500 0.000
Ca 0.500 0.000 0.000

---

Record-wise total DFT energy (no corrections) values, in eV/atom: -5.68; -6.27; -5.90; -6.38; -5.77; -5.92; -4.06; -3.62